(A)
InTc2Br (meta-GGA SCAN, single point on PBEsol structure); space-group type = Amm2, No. 38
1.0
3.0171 0.0000 0.0000
0.0000 3.0580 0.0000
0.0000 -1.5290 7.9670
Br Tc In
1 2 1
Cartesian
0.0000 0.0000 5.2517 Br
0.0000 0.0000 0.7522 Tc
1.5085 0.0000 7.3174 Tc
1.5085 1.5290 2.6510 In

---

(B)
InTc2Br (meta-GGA SCAN, single point on PBEsol structure); space-group type = I-4m2, No. 119
1.0
-0.0423 4.0898 0.5850
-3.0954 0.3561 -2.7133
-1.0401 -2.6673 3.9821
Tc In Br
2 1 1
Cartesian
0.0000 0.0000 0.0000 Tc
-1.3256 1.8227 1.7514 Tc
-2.8521 -0.0441 0.1023 In
-1.5688 2.2229 -1.0642 Br

---

Preferred: (A); penalty for the next structure: 910 meV/atom.

---

(A)
InTe2Br (meta-GGA SCAN, single point on PBEsol structure); space-group type = R-3m, No. 166
1.0
-2.2223 -0.4372 -3.7502
1.6858 -2.3613 -3.2828
-4.0233 -7.9880 0.7563
In Te Br
1 2 1
Cartesian
-2.2799 -5.3932 -3.1383 In
-2.7928 -5.7300 -0.2361 Te
-1.7670 -5.0565 -6.0406 Te
0.0000 0.0000 0.0000 Br

---

(B)
InTe2Br (meta-GGA SCAN, single point on PBEsol structure); space-group type = Cmm2, No. 35
1.0
-2.8870 1.6763 2.7765
-0.7288 -3.4997 -2.0401
3.4988 -4.3971 6.2930
Te In Br
2 1 1
Cartesian
0.0373 -0.0469 0.0671 Te
-0.6575 -0.1496 2.8019 Te
1.1587 -2.4322 6.0686 In
1.8227 -2.2906 3.2783 Br

---

(C)
InTe2Br (meta-GGA SCAN, single point on PBEsol structure); space-group type = P4/mmm, No. 123
1.0
-3.6679 -0.2649 1.1345
-1.0786 -0.6446 -3.6376
0.8538 -7.3386 1.0472
In Br Te
1 1 2
Cartesian
-1.9464 -4.1240 -0.7279 In
-2.3733 -0.4547 -1.2515 Br
0.2558 -2.1989 0.3138 Te
0.5981 -5.1403 0.7335 Te

---

(D)
InTe2Br (meta-GGA SCAN, single point on PBEsol structure); space-group type = R-3m, No. 166
1.0
3.1409 0.0000 0.0000
1.5705 2.7201 0.0000
1.5705 0.9067 12.8911
Te In Br
2 1 1
Cartesian
1.5705 0.9067 9.8642 Te
4.7114 2.7201 3.0269 Te
0.0000 0.0000 0.0000 In
3.1409 1.8134 6.4456 Br

---

Preferred: (A); penalty for the next structure: 49 meV/atom.

---

(A)
YIn2Br (meta-GGA SCAN, single point on PBEsol structure); space-group type = Fm-3m, No. 225
1.0
5.3489 0.0000 0.0000
2.6745 4.6323 0.0000
2.6745 1.5441 4.3674
In Y Br
2 1 1
Cartesian
8.0234 4.6323 3.2755 In
2.6745 1.5441 1.0918 In
5.3489 3.0882 2.1837 Y
0.0000 0.0000 0.0000 Br

---

(B)
YIn2Br (meta-GGA SCAN, single point on PBEsol structure); space-group type = Pmmm, No. 47
1.0
3.5925 0.0000 0.0000
0.0000 5.2247 0.0000
0.0000 0.0000 5.6415
Br In Y
1 2 1
Cartesian
1.7963 2.6124 2.8208 Br
0.0000 0.0000 4.2553 In
0.0000 0.0000 1.3863 In
1.7963 2.6124 0.0000 Y

---

Preferred: (B); penalty for the next structure: 454 meV/atom.

---

(A)
Y2InBr (meta-GGA SCAN, single point on PBEsol structure); space-group type = I-4m2, No. 119
1.0
-1.6095 2.8380 -2.8242
-3.9102 -1.7684 0.4514
1.6449 2.9991 5.3729
Br Y In
1 2 1
Cartesian
-2.7598 0.5348 -1.1864 Br
-1.3622 3.1859 0.6812 Y
0.0000 0.0000 0.0000 Y
-2.5125 0.8827 2.3190 In

---

(B)
Y2InBr (meta-GGA SCAN, single point on PBEsol structure); space-group type = C2/m, No. 12
1.0
-2.2908 1.0117 2.2669
-3.9112 -1.8991 -3.3106
0.3863 -4.9069 2.3743
Y Br In
2 1 1
Cartesian
-1.9556 -0.9496 -1.6553 Y
0.1931 -2.4535 1.1872 Y
-1.1454 0.5058 1.1335 Br
-2.9079 -2.8972 0.6653 In

---

Preferred: (B); penalty for the next structure: 244 meV/atom.

---

(A)
ZnInBr (meta-GGA SCAN, single point on PBEsol structure); space-group type = F-43m, No. 216
1.0
4.9330 0.0000 0.0000
2.4665 4.2721 0.0000
2.4665 1.4240 4.0278
Br In Zn
1 1 1
Cartesian
0.0000 0.0000 0.0000 Br
4.9330 2.8481 2.0139 In
2.4665 1.4240 1.0069 Zn

---

(B)
ZnInBr (meta-GGA SCAN, single point on PBEsol structure); space-group type = Fmm2, No. 42
1.0
-3.5233 -0.2488 0.2070
0.7159 -3.4075 0.6287
1.6525 2.8989 5.1027
Zn Br In
1 1 1
Cartesian
0.1650 0.7101 3.6607 Zn
-1.1641 -0.7970 5.7335 Br
-1.3107 -1.4276 2.4826 In

---

Preferred: (B); penalty for the next structure: 103 meV/atom.

---

(A)
IrBr3 (meta-GGA SCAN, single point on PBEsol structure); space-group type = Pm-3m, No. 221
1.0
5.0364 0.0000 0.0000
0.0000 5.0364 0.0000
0.0000 0.0000 5.0364
Ir Br
1 3
Cartesian
0.0000 0.0000 0.0000 Ir
0.0000 2.5182 0.0000 Br
0.0000 0.0000 2.5182 Br
2.5182 0.0000 0.0000 Br

---

(B)
IrBr3 (meta-GGA SCAN, single point on PBEsol structure); space-group type = C2/m, No. 12
1.0
6.3588 -0.0043 0.0411
-3.1749 5.5094 0.0411
-0.9995 -1.7281 6.0759
Br Ir
6 2
Cartesian
0.4658 4.6750 1.4260 Br
1.7221 2.9777 4.7714 Br
3.8198 2.7353 1.4260 Br
1.7185 -0.8981 4.7321 Br
-1.6355 1.0417 4.7321 Br
0.4622 0.7992 1.3867 Br
4.7698 0.9147 0.0411 Ir
-1.5860 4.5904 0.0411 Ir

---

Preferred: (B); penalty for the next structure: 652 meV/atom.

---

(A)
KIrBr2 (meta-GGA SCAN, single point on PBEsol structure); space-group type = Immm, No. 71
1.0
3.7066 0.0000 0.0000
0.0000 5.7878 0.0000
-1.8533 -2.8939 5.0666
K Br Ir
1 2 1
Cartesian
0.0000 2.8939 0.0000 K
1.8533 2.8939 3.4565 Br
0.0000 0.0000 1.6101 Br
1.8533 0.0000 0.0000 Ir

---

(B)
KIrBr2 (meta-GGA SCAN, single point on PBEsol structure); space-group type = P4mm, No. 99
1.0
3.4571 0.0000 0.0000
0.0000 3.4571 0.0000
0.0000 0.0000 8.2575
Br Ir K
2 1 1
Cartesian
1.7286 1.7286 2.7904 Br
0.0000 0.0000 8.1629 Br
0.0000 0.0000 3.4456 Ir
1.7286 1.7286 6.2449 K

---

Preferred: (A); penalty for the next structure: 503 meV/atom.

---

(A)
KIr2Br (meta-GGA SCAN, single point on PBEsol structure); space-group type = Cmmm, No. 65
1.0
-1.5306 -0.2686 2.3430
0.4143 -2.2995 -1.6799
8.3895 -2.2998 5.2170
K Br Ir
1 1 2
Cartesian
3.4294 -1.2842 3.7800 K
-0.7653 -0.1343 1.1715 Br
6.4994 -1.7816 4.0416 Ir
1.8901 -0.5181 1.1754 Ir

---

(B)
KIr2Br (meta-GGA SCAN, single point on PBEsol structure); space-group type = P4/mmm, No. 123
1.0
2.9510 0.0000 0.0000
0.0000 2.9510 0.0000
0.0000 0.0000 8.6401
Ir K Br
2 1 1
Cartesian
0.0000 0.0000 2.6510 Ir
0.0000 0.0000 5.9891 Ir
1.4755 1.4755 0.0000 K
1.4755 1.4755 4.3200 Br

---

Preferred: (A); penalty for the next structure: 107 meV/atom.

---

(A)
LaIr2Br (meta-GGA SCAN, single point on PBEsol structure); space-group type = I-42d, No. 122
1.0
4.0296 0.0000 0.0000
0.0000 4.0296 0.0000
-2.0148 -2.0148 10.0916
Ir La Br
4 2 2
Cartesian
-1.0074 -0.8134 7.5687 Ir
1.2014 3.0222 2.5229 Ir
2.8282 1.0074 2.5229 Ir
1.0074 0.8134 7.5687 Ir
0.0000 2.0148 5.0458 La
0.0000 0.0000 0.0000 La
2.0148 2.0148 0.0000 Br
2.0148 0.0000 5.0458 Br

---

(B)
LaIr2Br (meta-GGA SCAN, single point on PBEsol structure); space-group type = C2/m, No. 12
1.0
-1.9621 -2.0831 1.1901
3.7841 -2.7547 1.2952
-0.7184 4.7574 3.1682
La Br Ir
1 1 2
Cartesian
-0.9811 -1.0415 0.5950 La
1.8921 -1.3774 0.6476 Br
0.5518 -0.0402 2.8268 Ir
-0.3592 2.3787 1.5841 Ir

---

Preferred: (A); penalty for the next structure: 35 meV/atom.

---

(A)
LaIr2Br (meta-GGA SCAN, single point on PBEsol structure); space-group type = Pm, No. 6
1.0
-3.3052 0.3484 -1.1650
-0.6698 -3.3181 0.9080
-0.6555 2.1651 7.4287
Ir La Br
2 1 1
Cartesian
-2.9944 0.5662 -0.1399 Ir
-1.8488 -1.0824 1.4444 Ir
-0.4531 1.0330 3.4409 La
-2.9673 0.1097 4.9756 Br

---

(B)
LaIr2Br (meta-GGA SCAN, single point on PBEsol structure); space-group type = P4/mmm, No. 123
1.0
-0.9301 1.3627 3.5324
2.0259 -2.8938 1.6497
4.3540 3.0344 -0.0241
Br La Ir
1 1 2
Cartesian
2.1770 1.5172 -0.0121 Br
2.7249 0.7516 2.5790 La
-0.4651 0.6813 1.7662 Ir
1.0130 -1.4469 0.8249 Ir

---

Preferred: (A); penalty for the next structure: 531 meV/atom.

---

(A)
Li2IrBr (meta-GGA SCAN, single point on PBEsol structure); space-group type = Cmmm, No. 65
1.0
-0.9594 2.6332 0.7268
-1.2211 -2.2304 1.3843
5.6455 0.4723 5.7412
Li Ir Br
2 1 1
Cartesian
4.2340 0.3542 4.3057 Li
1.4115 0.1181 1.4354 Li
-1.0903 0.2014 1.0555 Ir
1.7325 0.4375 3.9261 Br

---

(B)
Li2IrBr (meta-GGA SCAN, single point on PBEsol structure); space-group type = R-3m, No. 166
1.0
2.9550 0.0000 0.0000
1.4775 2.5591 0.0000
1.4775 0.8530 7.9013
Li Br Ir
2 1 1
Cartesian
4.4325 2.5591 5.8849 Li
1.4775 0.8530 2.0163 Li
2.9550 1.7061 3.9506 Br
0.0000 0.0000 0.0000 Ir

---

Preferred: (B); penalty for the next structure: 53 meV/atom.

---

(A)
Mn2IrBr (meta-GGA SCAN, single point on PBEsol structure); space-group type = Imm2, No. 44
1.0
3.0498 0.0000 0.0000
0.0000 3.2859 0.0000
-1.5249 -1.6429 6.9122
Mn Ir Br
2 1 1
Cartesian
1.5249 0.0000 3.9316 Mn
0.0000 0.0000 0.9105 Mn
0.0000 1.6429 2.8379 Ir
0.0000 0.0000 6.1445 Br

---

(B)
Mn2IrBr (meta-GGA SCAN, single point on PBEsol structure); space-group type = P4mm, No. 99
1.0
-1.1537 2.7597 0.2077
-1.3622 -0.3703 -2.6453
-5.4540 -2.5180 3.1610
Ir Mn Br
1 2 1
Cartesian
-5.6888 -0.8510 1.3493 Ir
-2.4912 0.6253 -0.5040 Mn
-5.4389 -2.5111 3.1523 Mn
-2.5318 -1.1689 1.4674 Br

---

Preferred: (A); penalty for the next structure: 260 meV/atom.

---

(A)
MnIr2Br (meta-GGA SCAN, single point on PBEsol structure); space-group type = P4/mmm, No. 123
1.0
2.9656 0.0000 0.0000
0.0000 2.9656 0.0000
0.0000 0.0000 6.9615
Ir Mn Br
2 1 1
Cartesian
0.0000 0.0000 5.5529 Ir
0.0000 0.0000 1.4086 Ir
1.4828 1.4828 0.0000 Mn
1.4828 1.4828 3.4808 Br

---

(B)
MnIr2Br (meta-GGA SCAN, single point on PBEsol structure); space-group type = P4/mmm, No. 123
1.0
-3.6904 -1.3444 -1.0583
-0.6037 -1.3311 3.7960
-1.4432 3.2461 0.9088
Mn Ir Br
1 2 1
Cartesian
-2.8686 0.2853 1.8232 Mn
-0.3018 -0.6655 1.8980 Ir
-1.8452 -0.6722 -0.5291 Ir
-0.7216 1.6231 0.4544 Br

---

(C)
MnIr2Br (meta-GGA SCAN, single point on PBEsol structure); space-group type = R-3m, No. 166
1.0
2.7339 0.0000 0.0000
1.3670 2.3676 0.0000
1.3670 0.7892 9.7028
Ir Br Mn
2 1 1
Cartesian
4.1009 2.3676 6.8028 Ir
1.3670 0.7892 2.9000 Ir
0.0000 0.0000 0.0000 Br
2.7339 1.5784 4.8514 Mn

---

Preferred: (C); penalty for the next structure: 82 meV/atom.